No. 1
NbHgCl5 PBE relaxed; ΔE_f (raw) = -1.03 eV per atom; V = 326.1 Å³ per cell
1.0
-4.197 5.686 3.416
4.197 -5.686 3.416
4.197 5.686 -3.416
Nb Hg Cl
1 1 5
Cartesian
0.000 0.000 0.000 Nb
4.197 0.000 3.271 Hg
4.197 -3.685 2.295 Cl
0.000 0.000 2.288 Cl
4.197 3.685 2.295 Cl
-1.852 5.686 3.384 Cl
1.852 5.686 3.384 Cl



No. 2
NbHg3Cl PBE relaxed; ΔE_f (raw) = 1.14 eV per atom; energy relative to the lowest polymorph listed for this composition = 578 meV per atom; V = 162.6 Å³ per cell
1.0
5.458 0.000 0.000
0.000 5.458 0.000
0.000 0.000 5.458
Nb Hg Cl
1 3 1
Cartesian
0.000 0.000 0.000 Nb
0.000 2.729 2.729 Hg
2.729 0.000 2.729 Hg
2.729 2.729 0.000 Hg
2.729 2.729 2.729 Cl



No. 3
NbHgCl6 PBE relaxed; ΔE_f (raw) = -0.96 eV per atom; energy relative to the lowest polymorph listed for this composition = 28 meV per atom; V = 223.5 Å³ per cell
1.0
3.290 1.900 5.961
-3.290 1.900 5.961
0.000 -3.799 5.961
Nb Hg Cl
1 1 6
Cartesian
0.000 0.000 0.000 Nb
0.000 0.000 8.942 Hg
-1.071 -2.157 7.342 Cl
-2.403 -0.151 10.542 Cl
-1.332 2.006 7.342 Cl
1.332 -2.006 10.542 Cl
2.403 0.151 7.342 Cl
1.071 2.157 10.542 Cl



No. 4
Nb2HgCl PBE relaxed; ΔE_f (raw) = 0.54 eV per atom; energy relative to the lowest polymorph listed for this composition = 73 meV per atom; V = 166.1 Å³ per cell
1.0
-2.039 2.039 9.986
2.039 -2.039 9.986
2.039 2.039 -9.986
Nb Hg Cl
4 2 2
Cartesian
3.059 1.004 -2.496 Nb
1.004 1.020 2.496 Nb
-1.020 1.035 7.489 Nb
1.035 1.020 12.482 Nb
0.000 0.000 0.000 Hg
0.000 2.039 4.993 Hg
2.039 0.000 4.993 Cl
0.000 0.000 9.986 Cl



No. 5
NbHgOs2Cl PBE relaxed; ΔE_f (raw) = 2.77 eV per atom; V = 115.9 Å³ per cell
1.0
4.985 0.000 0.000
0.000 4.985 0.000
0.000 0.000 4.663
Nb Hg Os Cl
1 1 2 1
Cartesian
0.000 0.000 0.000 Nb
2.492 2.492 2.332 Hg
0.000 2.492 2.332 Os
2.492 0.000 2.332 Os
2.492 2.492 0.000 Cl



No. 6
NbHgP2Cl PBE relaxed; ΔE_f (raw) = 0.31 eV per atom; energy relative to the lowest polymorph listed for this composition = 267 meV per atom; V = 130.9 Å³ per cell
1.0
4.776 0.000 0.000
0.000 4.776 0.000
0.000 0.000 5.738
Nb Hg P Cl
1 1 2 1
Cartesian
0.000 0.000 0.000 Nb
0.000 0.000 2.869 Hg
0.000 2.388 0.000 P
2.388 0.000 0.000 P
2.388 2.388 2.869 Cl